Crystalline LiCaFe2C at its relaxed geometry, computed with PBE.

Properties
Symmetry: P4/mmm, No. 123

Cell lengths 3.8354, 3.8354, 4.4005 Å; angles 90.00, 90.00, 90.00 degrees
Last column: magnetic moment on the atom in μB.
Fractional coordinates of all 5 atoms:
C 0.0000 0.0000 0.0000  -0.08
Li 0.0000 0.0000 0.5000  -0.03
Ca 0.5000 0.5000 0.5000  -0.06
Fe 0.5000 0.0000 0.0000  1.15
Fe 0.0000 0.5000 0.0000  1.15


Crystalline Sr2Tl5Pd3 at its relaxed geometry, computed with PBE.

Properties
Symmetry: Cmc2_1, No. 36

Cell lengths 4.7013, 7.7976, 14.0990 Å; angles 90.00, 99.60, 90.00 degrees
Fractional coordinates of all 20 atoms:
Pd 0.7711 0.6931 0.5423
Tl 0.4028 0.4044 0.8056
Sr 0.4746 0.7830 0.9492
Pd 0.6104 0.5329 0.2207
Tl 0.7090 0.9957 0.4181
Sr 0.1757 0.7041 0.3515
Tl 0.9481 0.1104 0.8962
Pd 0.9547 0.4932 0.9094
Pd 0.0453 0.9932 0.0906
Sr 0.8243 0.2041 0.6485
Tl 0.0519 0.6104 0.1038
Pd 0.2289 0.1931 0.4577
Tl 0.8745 0.7466 0.7491
Pd 0.3896 0.0329 0.7793
Sr 0.5254 0.2830 0.0508
Tl 0.2945 0.9013 0.5890
Tl 0.2910 0.4957 0.5819
Tl 0.1255 0.2466 0.2509
Tl 0.5972 0.9044 0.1944
Tl 0.7055 0.4013 0.4110


Crystalline Ba3CrGa at its relaxed geometry, computed with PBE.

Properties
Symmetry: Pm-3m, No. 221

Cell lengths 6.4222, 6.4222, 6.4222 Å; angles 90.00, 90.00, 90.00 degrees
Last column: magnetic moment on the atom in μB.
Fractional coordinates of all 5 atoms:
Ba 0.0000 0.0000 0.5000  0.02
Ba 0.0000 0.5000 0.0000  0.03
Cr 0.5000 0.5000 0.5000  4.22
Ba 0.5000 0.0000 0.0000  0.00
Ga 0.0000 0.0000 0.0000  0.01


Crystalline CePr4In4 at its relaxed geometry, computed with PBE.

Properties
Symmetry: P4_2/nmc, No. 137

Cell lengths 7.3024, 7.3024, 11.1147 Å; angles 90.00, 90.00, 90.00 degrees
Last column: magnetic moment on the atom in μB.
Fractional coordinates of all 18 atoms:
Pr 0.7750 0.5000 0.9244  0.01
Pr 0.0000 0.2750 0.4244  0.01
In 0.2288 0.5000 0.2235  0.00
In 0.0000 0.7288 0.7235  0.00
In 0.2712 0.0000 0.2765  0.00
In 0.7712 0.5000 0.2235  0.00
Pr 0.5000 0.7750 0.0756  0.01
In 0.5000 0.7712 0.7765  0.00
In 0.5000 0.2288 0.7765  0.00
Pr 0.2750 0.0000 0.5756  0.01
Pr 0.7250 0.0000 0.5756  0.01
In 0.0000 0.2712 0.7235  0.00
Ce 0.0000 0.0000 0.0000  1.09
Pr 0.0000 0.7250 0.4244  0.01
In 0.7288 0.0000 0.2765  0.00
Ce 0.5000 0.5000 0.5000  1.09
Pr 0.5000 0.2250 0.0756  0.01
Pr 0.2250 0.5000 0.9244  0.01


Crystalline Li2HoGa at its relaxed geometry, computed with PBE.

Properties
Symmetry: F-43m, No. 216

Cell lengths 4.8048, 4.8048, 4.8035 Å; angles 59.99, 59.99, 60.00 degrees
Fractional coordinates of all 4 atoms:
Ga 0.4672 0.4672 0.5985
Li 0.2173 0.2173 0.3480
Li 0.9675 0.9675 0.0976
Ho 0.7172 0.7172 0.8483


Crystalline Zr2Al2Tl at its relaxed geometry, computed with PBE.

Properties
Symmetry: P4/mbm, No. 127

Cell lengths 7.1094, 7.1094, 4.0274 Å; angles 90.00, 90.00, 90.00 degrees
Fractional coordinates of all 10 atoms:
Al 0.6239 0.1239 0.0000
Zr 0.1740 0.6740 0.5000
Tl 0.0000 0.0000 0.0000
Al 0.8761 0.6239 0.0000
Zr 0.6740 0.8260 0.5000
Al 0.3761 0.8761 0.0000
Al 0.1239 0.3761 0.0000
Zr 0.8260 0.3260 0.5000
Tl 0.5000 0.5000 0.0000
Zr 0.3260 0.1740 0.5000


no.,formation energy (meV/atom),N(E_F) (states/eV/f.u.)
1,157,3.4
2,-377,6.1
3,464,8.3
4,-111,13.8
5,-266,2.4
6,-238,1.9